Entry 1:
Compound: HfInTeO6
Source: Alexandria
Functional: PBE-GGA
Structure: relaxed

Results
SG: P-31c
formation energy (no corrections): -1.846 eV/atom

Geometry as CIF:
```
data_HfInTeO6
_chemical_formula_sum 'Hf2 In2 Te2 O12'
_space_group_name_H-M_alt 'P 1'
_space_group_IT_number 1
_cell_length_a 5.4326
_cell_length_b 5.4326
_cell_length_c 9.3098
_cell_angle_alpha 90.00
_cell_angle_beta 90.00
_cell_angle_gamma 120.00
loop_
_space_group_symop_operation_xyz
'x,y,z'
loop_
_atom_site_label
_atom_site_fract_x
_atom_site_fract_y
_atom_site_fract_z
Hf1 0.3333 0.6667 0.2500
Hf2 0.6667 0.3333 0.7500
In1 0.0000 0.0000 0.0000
In2 0.0000 0.0000 0.5000
Te1 0.3333 0.6667 0.7500
Te2 0.6667 0.3333 0.2500
O1 0.0038 0.3494 0.6325
O2 0.0038 0.6543 0.8675
O3 0.3457 0.3494 0.8675
O4 0.3457 0.9962 0.6325
O5 0.3494 0.0038 0.1325
O6 0.3494 0.3457 0.3675
O7 0.6506 0.6543 0.6325
O8 0.6506 0.9962 0.8675
O9 0.6543 0.0038 0.3675
O10 0.6543 0.6506 0.1325
O11 0.9962 0.3457 0.1325
O12 0.9962 0.6506 0.3675
```

***

Entry 2:
Compound: HfTi2InO
Source: Alexandria
Functional: PBE-GGA
Structure: relaxed

Results
SG: P4/mmm
formation energy (no corrections): -1.062 eV/atom

Geometry as CIF:
```
data_HfTi2InO
_chemical_formula_sum 'Hf1 Ti2 In1 O1'
_space_group_name_H-M_alt 'P 1'
_space_group_IT_number 1
_cell_length_a 4.1699
_cell_length_b 4.1699
_cell_length_c 4.5729
_cell_angle_alpha 90.00
_cell_angle_beta 90.00
_cell_angle_gamma 90.00
loop_
_space_group_symop_operation_xyz
'x,y,z'
loop_
_atom_site_label
_atom_site_fract_x
_atom_site_fract_y
_atom_site_fract_z
Hf1 0.0000 0.0000 0.0000
Ti1 0.0000 0.5000 0.5000
Ti2 0.5000 0.0000 0.5000
In1 0.5000 0.5000 0.0000
O1 0.0000 0.0000 0.5000
```

***

Entry 3:
Compound: Hf2ZrInO
Source: Alexandria
Functional: PBE-GGA
Structure: relaxed

Results
SG: P4/mmm
formation energy (no corrections): -1.031 eV/atom

Geometry as CIF:
```
data_Hf2ZrInO
_chemical_formula_sum 'Hf2 Zr1 In1 O1'
_space_group_name_H-M_alt 'P 1'
_space_group_IT_number 1
_cell_length_a 4.3543
_cell_length_b 4.3543
_cell_length_c 4.8028
_cell_angle_alpha 90.00
_cell_angle_beta 90.00
_cell_angle_gamma 90.00
loop_
_space_group_symop_operation_xyz
'x,y,z'
loop_
_atom_site_label
_atom_site_fract_x
_atom_site_fract_y
_atom_site_fract_z
Hf1 0.0000 0.5000 0.0000
Hf2 0.5000 0.0000 0.0000
Zr1 0.0000 0.0000 0.5000
In1 0.5000 0.5000 0.5000
O1 0.0000 0.0000 0.0000
```

***

Entry 4:
Compound: Hf5InOs4
Source: Alexandria
Functional: PBE-GGA
Structure: relaxed

Results
SG: P4/mmm
E_form: -0.57 eV per atom

Geometry as CIF:
```
data_Hf5InOs4
_chemical_formula_sum 'Hf5 In1 Os4'
_space_group_name_H-M_alt 'P 1'
_space_group_IT_number 1
_cell_length_a 3.2041
_cell_length_b 3.2041
_cell_length_c 17.8630
_cell_angle_alpha 90.00
_cell_angle_beta 90.00
_cell_angle_gamma 90.00
loop_
_space_group_symop_operation_xyz
'x,y,z'
loop_
_atom_site_label
_atom_site_fract_x
_atom_site_fract_y
_atom_site_fract_z
Hf1 0.0000 0.0000 0.0000
Hf2 0.0000 0.0000 0.1857
Hf3 0.0000 0.0000 0.3717
Hf4 0.0000 0.0000 0.6283
Hf5 0.0000 0.0000 0.8143
In1 0.5000 0.5000 0.5000
Os1 0.5000 0.5000 0.0926
Os2 0.5000 0.5000 0.2792
Os3 0.5000 0.5000 0.7208
Os4 0.5000 0.5000 0.9074
```

***

Entry 5:
Compound: HfIn3Os
Source: Alexandria
Functional: PBE-GGA
Structure: relaxed

Results
SG: Pm-3m
E_form: 1.82 eV per atom

Geometry as CIF:
```
data_HfIn3Os
_chemical_formula_sum 'Hf1 In3 Os1'
_space_group_name_H-M_alt 'P 1'
_space_group_IT_number 1
_cell_length_a 5.4584
_cell_length_b 5.4584
_cell_length_c 5.4584
_cell_angle_alpha 90.00
_cell_angle_beta 90.00
_cell_angle_gamma 90.00
loop_
_space_group_symop_operation_xyz
'x,y,z'
loop_
_atom_site_label
_atom_site_fract_x
_atom_site_fract_y
_atom_site_fract_z
Hf1 0.0000 0.0000 0.0000
In1 0.0000 0.0000 0.5000
In2 0.0000 0.5000 0.0000
In3 0.5000 0.0000 0.0000
Os1 0.5000 0.5000 0.5000
```

***

Entry 6:
Compound: Hf3InOs
Source: Alexandria
Functional: PBE-GGA
Structure: relaxed

Results
SG: Pm-3m
E_form: 0.30 eV per atom

Geometry as CIF:
```
data_Hf3InOs
_chemical_formula_sum 'Hf3 In1 Os1'
_space_group_name_H-M_alt 'P 1'
_space_group_IT_number 1
_cell_length_a 5.0219
_cell_length_b 5.0219
_cell_length_c 5.0219
_cell_angle_alpha 90.00
_cell_angle_beta 90.00
_cell_angle_gamma 90.00
loop_
_space_group_symop_operation_xyz
'x,y,z'
loop_
_atom_site_label
_atom_site_fract_x
_atom_site_fract_y
_atom_site_fract_z
Hf1 0.0000 0.0000 0.5000
Hf2 0.0000 0.5000 0.0000
Hf3 0.5000 0.0000 0.0000
In1 0.5000 0.5000 0.5000
Os1 0.0000 0.0000 0.0000
```

***

Entry 7:
Compound: Hf6InOs
Source: Alexandria
Functional: PBE-GGA
Structure: relaxed

Results
SG: R-3
E_form: -0.16 eV per atom

Geometry as CIF:
```
data_Hf6InOs
_chemical_formula_sum 'Hf6 In1 Os1'
_space_group_name_H-M_alt 'P 1'
_space_group_IT_number 1
_cell_length_a 5.5476
_cell_length_b 5.5476
_cell_length_c 5.5476
_cell_angle_alpha 93.76
_cell_angle_beta 93.76
_cell_angle_gamma 93.76
loop_
_space_group_symop_operation_xyz
'x,y,z'
loop_
_atom_site_label
_atom_site_fract_x
_atom_site_fract_y
_atom_site_fract_z
Hf1 0.0202 0.7617 0.5590
Hf2 0.2383 0.4410 0.9798
Hf3 0.4410 0.9798 0.2383
Hf4 0.5590 0.0202 0.7617
Hf5 0.7617 0.5590 0.0202
Hf6 0.9798 0.2383 0.4410
In1 0.5000 0.5000 0.5000
Os1 0.0000 0.0000 0.0000
```

***

Entry 8:
Compound: HfIn2Os2
Source: Alexandria
Functional: PBE-GGA
Structure: relaxed

Results
SG: P4/mbm
E_form: 0.25 eV per atom

Geometry as CIF:
```
data_HfIn2Os2
_chemical_formula_sum 'Hf2 In4 Os4'
_space_group_name_H-M_alt 'P 1'
_space_group_IT_number 1
_cell_length_a 7.3845
_cell_length_b 7.3845
_cell_length_c 3.4347
_cell_angle_alpha 90.00
_cell_angle_beta 90.00
_cell_angle_gamma 90.00
loop_
_space_group_symop_operation_xyz
'x,y,z'
loop_
_atom_site_label
_atom_site_fract_x
_atom_site_fract_y
_atom_site_fract_z
Hf1 0.0000 0.0000 0.0000
Hf2 0.5000 0.5000 0.0000
In1 0.1612 0.3388 0.5000
In2 0.3388 0.8388 0.5000
In3 0.6612 0.1612 0.5000
In4 0.8388 0.6612 0.5000
Os1 0.1371 0.6371 0.0000
Os2 0.3629 0.1371 0.0000
Os3 0.6371 0.8629 0.0000
Os4 0.8629 0.3629 0.0000
```

***

Entry 9:
Compound: HfIn3Os
Source: Alexandria
Functional: PBE-GGA
Structure: relaxed

Results
SG: Pm-3m
E_form: 0.79 eV per atom

Geometry as CIF:
```
data_HfIn3Os
_chemical_formula_sum 'Hf1 In3 Os1'
_space_group_name_H-M_alt 'P 1'
_space_group_IT_number 1
_cell_length_a 5.1095
_cell_length_b 5.1095
_cell_length_c 5.1095
_cell_angle_alpha 90.00
_cell_angle_beta 90.00
_cell_angle_gamma 90.00
loop_
_space_group_symop_operation_xyz
'x,y,z'
loop_
_atom_site_label
_atom_site_fract_x
_atom_site_fract_y
_atom_site_fract_z
Hf1 0.0000 0.0000 0.0000
In1 0.0000 0.5000 0.5000
In2 0.5000 0.0000 0.5000
In3 0.5000 0.5000 0.0000
Os1 0.5000 0.5000 0.5000
```

***

Entry 10:
Compound: HfIn2Os2
Source: Alexandria
Functional: PBE-GGA
Structure: relaxed

Results
SG: I4/mmm
E_form: 0.41 eV per atom

Geometry as CIF:
```
data_HfIn2Os2
_chemical_formula_sum 'Hf2 In4 Os4'
_space_group_name_H-M_alt 'P 1'
_space_group_IT_number 1
_cell_length_a 3.8461
_cell_length_b 3.8461
_cell_length_c 13.3823
_cell_angle_alpha 90.00
_cell_angle_beta 90.00
_cell_angle_gamma 90.00
loop_
_space_group_symop_operation_xyz
'x,y,z'
loop_
_atom_site_label
_atom_site_fract_x
_atom_site_fract_y
_atom_site_fract_z
Hf1 0.0000 0.0000 0.0000
Hf2 0.5000 0.5000 0.5000
In1 0.0000 0.5000 0.2500
In2 0.0000 0.5000 0.7500
In3 0.5000 0.0000 0.2500
In4 0.5000 0.0000 0.7500
Os1 0.0000 0.0000 0.4080
Os2 0.0000 0.0000 0.5920
Os3 0.5000 0.5000 0.0920
Os4 0.5000 0.5000 0.9080
```

***

Entry 11:
Compound: Hf8In2Os
Source: Alexandria
Functional: PBE-GGA
Structure: relaxed

Results
SG: C2/m
E_form: 0.05 eV per atom

Geometry as CIF:
```
data_Hf8In2Os
_chemical_formula_sum 'Hf8 In2 Os1'
_space_group_name_H-M_alt 'P 1'
_space_group_IT_number 1
_cell_length_a 7.7766
_cell_length_b 7.7766
_cell_length_c 5.2429
_cell_angle_alpha 102.81
_cell_angle_beta 102.81
_cell_angle_gamma 121.10
loop_
_space_group_symop_operation_xyz
'x,y,z'
loop_
_atom_site_label
_atom_site_fract_x
_atom_site_fract_y
_atom_site_fract_z
Hf1 0.1072 0.3230 0.6631
Hf2 0.1947 0.8053 0.0000
Hf3 0.3230 0.1072 0.6631
Hf4 0.3842 0.3842 0.2054
Hf5 0.6158 0.6158 0.7946
Hf6 0.6770 0.8928 0.3369
Hf7 0.8053 0.1947 0.0000
Hf8 0.8928 0.6770 0.3369
In1 0.3001 0.6999 0.5000
In2 0.6999 0.3001 0.5000
Os1 0.0000 0.0000 0.0000
```

***

Entry 12:
Compound: HfInRe2Os
Source: Alexandria
Functional: PBE-GGA
Structure: relaxed

Results
SG: P4/mmm
E_form: 2.24 eV per atom

Geometry as CIF:
```
data_HfInRe2Os
_chemical_formula_sum 'Hf1 In1 Re2 Os1'
_space_group_name_H-M_alt 'P 1'
_space_group_IT_number 1
_cell_length_a 4.8244
_cell_length_b 4.8244
_cell_length_c 4.8217
_cell_angle_alpha 90.00
_cell_angle_beta 90.00
_cell_angle_gamma 90.00
loop_
_space_group_symop_operation_xyz
'x,y,z'
loop_
_atom_site_label
_atom_site_fract_x
_atom_site_fract_y
_atom_site_fract_z
Hf1 0.0000 0.0000 0.0000
In1 0.5000 0.5000 0.5000
Re1 0.0000 0.5000 0.0000
Re2 0.5000 0.0000 0.0000
Os1 0.0000 0.0000 0.5000
```

***

Entry 13:
Compound: HfInOsRu
Source: Alexandria
Functional: PBE-GGA
Structure: relaxed

Results
SG: F-43m
E_form: -0.26 eV per atom

Geometry as CIF:
```
data_HfInOsRu
_chemical_formula_sum 'Hf4 In4 Os4 Ru4'
_space_group_name_H-M_alt 'P 1'
_space_group_IT_number 1
_cell_length_a 6.4774
_cell_length_b 6.4774
_cell_length_c 6.4774
_cell_angle_alpha 90.00
_cell_angle_beta 90.00
_cell_angle_gamma 90.00
loop_
_space_group_symop_operation_xyz
'x,y,z'
loop_
_atom_site_label
_atom_site_fract_x
_atom_site_fract_y
_atom_site_fract_z
Hf1 0.0000 0.0000 0.0000
Hf2 0.0000 0.5000 0.5000
Hf3 0.5000 0.0000 0.5000
Hf4 0.5000 0.5000 0.0000
In1 0.0000 0.0000 0.5000
In2 0.0000 0.5000 0.0000
In3 0.5000 0.0000 0.0000
In4 0.5000 0.5000 0.5000
Os1 0.2500 0.2500 0.7500
Os2 0.2500 0.7500 0.2500
Os3 0.7500 0.2500 0.2500
Os4 0.7500 0.7500 0.7500
Ru1 0.2500 0.2500 0.2500
Ru2 0.2500 0.7500 0.7500
Ru3 0.7500 0.2500 0.7500
Ru4 0.7500 0.7500 0.2500
```

***

Entry 14:
Compound: Hf2InOsRu
Source: Alexandria
Functional: PBE-GGA
Structure: relaxed

Results
SG: P4/mmm
E_form: 0.64 eV per atom

Geometry as CIF:
```
data_Hf2InOsRu
_chemical_formula_sum 'Hf2 In1 Os1 Ru1'
_space_group_name_H-M_alt 'P 1'
_space_group_IT_number 1
_cell_length_a 4.9105
_cell_length_b 4.9105
_cell_length_c 4.7455
_cell_angle_alpha 90.00
_cell_angle_beta 90.00
_cell_angle_gamma 90.00
loop_
_space_group_symop_operation_xyz
'x,y,z'
loop_
_atom_site_label
_atom_site_fract_x
_atom_site_fract_y
_atom_site_fract_z
Hf1 0.0000 0.5000 0.0000
Hf2 0.5000 0.0000 0.0000
In1 0.0000 0.0000 0.5000
Os1 0.5000 0.5000 0.5000
Ru1 0.5000 0.5000 0.0000
```

***

Entry 15:
Compound: HfInOsRu2
Source: Alexandria
Functional: PBE-GGA
Structure: relaxed

Results
SG: P4/mmm
E_form: 2.04 eV per atom

Geometry as CIF:
```
data_HfInOsRu2
_chemical_formula_sum 'Hf1 In1 Os1 Ru2'
_space_group_name_H-M_alt 'P 1'
_space_group_IT_number 1
_cell_length_a 4.6477
_cell_length_b 4.6477
_cell_length_c 5.2467
_cell_angle_alpha 90.00
_cell_angle_beta 90.00
_cell_angle_gamma 90.00
loop_
_space_group_symop_operation_xyz
'x,y,z'
loop_
_atom_site_label
_atom_site_fract_x
_atom_site_fract_y
_atom_site_fract_z
Hf1 0.0000 0.0000 0.0000
In1 0.0000 0.0000 0.5000
Os1 0.5000 0.5000 0.5000
Ru1 0.0000 0.5000 0.0000
Ru2 0.5000 0.0000 0.0000
```

***

Entry 16:
Compound: HfScInOs
Source: Alexandria
Functional: PBE-GGA
Structure: relaxed

Results
SG: F-43m
E_form: -0.30 eV per atom

Geometry as CIF:
```
data_HfScInOs
_chemical_formula_sum 'Hf4 Sc4 In4 Os4'
_space_group_name_H-M_alt 'P 1'
_space_group_IT_number 1
_cell_length_a 6.7388
_cell_length_b 6.7388
_cell_length_c 6.7388
_cell_angle_alpha 90.00
_cell_angle_beta 90.00
_cell_angle_gamma 90.00
loop_
_space_group_symop_operation_xyz
'x,y,z'
loop_
_atom_site_label
_atom_site_fract_x
_atom_site_fract_y
_atom_site_fract_z
Hf1 0.0000 0.0000 0.0000
Hf2 0.0000 0.5000 0.5000
Hf3 0.5000 0.0000 0.5000
Hf4 0.5000 0.5000 0.0000
Sc1 0.0000 0.0000 0.5000
Sc2 0.0000 0.5000 0.0000
Sc3 0.5000 0.0000 0.0000
Sc4 0.5000 0.5000 0.5000
In1 0.2500 0.2500 0.2500
In2 0.2500 0.7500 0.7500
In3 0.7500 0.2500 0.7500
In4 0.7500 0.7500 0.2500
Os1 0.2500 0.2500 0.7500
Os2 0.2500 0.7500 0.2500
Os3 0.7500 0.2500 0.2500
Os4 0.7500 0.7500 0.7500
```

***

Entry 17:
Compound: HfTiIn2Os
Source: Alexandria
Functional: PBE-GGA
Structure: relaxed

Results
SG: P4/mmm
E_form: 1.60 eV per atom

Geometry as CIF:
```
data_HfTiIn2Os
_chemical_formula_sum 'Hf1 Ti1 In2 Os1'
_space_group_name_H-M_alt 'P 1'
_space_group_IT_number 1
_cell_length_a 5.0567
_cell_length_b 5.0567
_cell_length_c 4.7189
_cell_angle_alpha 90.00
_cell_angle_beta 90.00
_cell_angle_gamma 90.00
loop_
_space_group_symop_operation_xyz
'x,y,z'
loop_
_atom_site_label
_atom_site_fract_x
_atom_site_fract_y
_atom_site_fract_z
Hf1 0.0000 0.0000 0.0000
Ti1 0.0000 0.0000 0.5000
In1 0.0000 0.5000 0.5000
In2 0.5000 0.0000 0.5000
Os1 0.5000 0.5000 0.0000
```

***

Entry 18:
Compound: Hf2InOsW
Source: Alexandria
Functional: PBE-GGA
Structure: relaxed

Results
SG: P4/mmm
E_form: 2.32 eV per atom

Geometry as CIF:
```
data_Hf2InOsW
_chemical_formula_sum 'Hf2 In1 Os1 W1'
_space_group_name_H-M_alt 'P 1'
_space_group_IT_number 1
_cell_length_a 5.0540
_cell_length_b 5.0540
_cell_length_c 4.7656
_cell_angle_alpha 90.00
_cell_angle_beta 90.00
_cell_angle_gamma 90.00
loop_
_space_group_symop_operation_xyz
'x,y,z'
loop_
_atom_site_label
_atom_site_fract_x
_atom_site_fract_y
_atom_site_fract_z
Hf1 0.0000 0.5000 0.0000
Hf2 0.5000 0.0000 0.0000
In1 0.0000 0.0000 0.0000
Os1 0.5000 0.5000 0.5000
W1 0.0000 0.0000 0.5000
```

***

Entry 19:
Compound: HfInP3
Source: Alexandria
Functional: PBE-GGA
Structure: relaxed

Results
SG: Pm-3m
E_form: 1.11 eV per atom

Geometry as CIF:
```
data_HfInP3
_chemical_formula_sum 'Hf1 In1 P3'
_space_group_name_H-M_alt 'P 1'
_space_group_IT_number 1
_cell_length_a 4.8651
_cell_length_b 4.8651
_cell_length_c 4.8651
_cell_angle_alpha 90.00
_cell_angle_beta 90.00
_cell_angle_gamma 90.00
loop_
_space_group_symop_operation_xyz
'x,y,z'
loop_
_atom_site_label
_atom_site_fract_x
_atom_site_fract_y
_atom_site_fract_z
Hf1 0.0000 0.0000 0.0000
In1 0.5000 0.5000 0.5000
P1 0.0000 0.5000 0.5000
P2 0.5000 0.0000 0.5000
P3 0.5000 0.5000 0.0000
```

***

Entry 20:
Compound: Hf3InP
Source: Alexandria
Functional: PBE-GGA
Structure: relaxed

Results
SG: Pm-3m
E_form: -0.26 eV per atom

Geometry as CIF:
```
data_Hf3InP
_chemical_formula_sum 'Hf3 In1 P1'
_space_group_name_H-M_alt 'P 1'
_space_group_IT_number 1
_cell_length_a 4.8188
_cell_length_b 4.8188
_cell_length_c 4.8188
_cell_angle_alpha 90.00
_cell_angle_beta 90.00
_cell_angle_gamma 90.00
loop_
_space_group_symop_operation_xyz
'x,y,z'
loop_
_atom_site_label
_atom_site_fract_x
_atom_site_fract_y
_atom_site_fract_z
Hf1 0.0000 0.0000 0.5000
Hf2 0.0000 0.5000 0.0000
Hf3 0.5000 0.0000 0.0000
In1 0.5000 0.5000 0.5000
P1 0.0000 0.0000 0.0000
```

***

Asked for calculated density across the records above, the calculation gives 7.214; 8.459; 10.559; 16.010; 7.282; 11.020; 13.476; 13.983; 8.878; 13.230; 12.662; 12.665; 14.288; 11.074; 10.046; 11.471; 8.893; 11.539; 5.569; 10.110 Mg/m³ in order.
Asked for magnetic moment across the records above, the calculation gives 0.00; 0.00; 0.00; 0.00; 0.57; 0.00; 0.00; 0.00; 0.00; 0.00; 0.00; 0.56; 0.00; 0.00; 0.62; 0.00; 0.00; 0.00; 0.00; 0.00 μB per atom in order.
Asked for final energy across the records above, the calculation gives -0.25398; -0.28482; -0.30361; -0.37880; -0.14931; -0.31123; -0.34430; -0.26926; -0.18692; -0.26354; -0.31995; -0.27634; -0.31457; -0.29367; -0.23724; -0.28913; -0.19519; -0.25888; -0.17192; -0.28905 Ha/atom in order.